Arrangement A

Material: KRb2Br
Method: DFT, PBE
State: relaxed

Computed properties:
The total magnetization comes out at 0.0 Bohr magnetons per cell.

Geometry as POSCAR:
```
KRb2Br
1.0
4.381 0.000 0.000
0.000 4.381 0.000
0.000 0.000 12.024
K Rb Br
1 2 1
direct
0.000 0.000 0.000 K
0.500 0.500 0.331 Rb
0.500 0.500 0.669 Rb
0.000 0.000 0.500 Br
```



Arrangement B

Material: KRb2Br
Method: DFT, PBE
State: relaxed

Computed properties:
The total magnetization comes out at 0.0 Bohr magnetons per cell.

Geometry as POSCAR:
```
KRb2Br
1.0
0.000 4.928 4.928
4.928 0.000 4.928
4.928 4.928 0.000
K Rb Br
1 2 1
direct
0.000 0.000 0.000 K
0.250 0.250 0.250 Rb
0.750 0.750 0.750 Rb
0.500 0.500 0.500 Br
```



Arrangement C

Material: KRb2Br
Method: DFT, PBE
State: relaxed

Computed properties:
The total magnetization comes out at 0.0 Bohr magnetons per cell.

Geometry as POSCAR:
```
KRb2Br
1.0
-5.318 5.318 5.090
5.318 -5.318 5.090
5.318 5.318 -5.090
K Rb Br
2 4 2
direct
0.000 0.000 0.000 K
0.750 0.250 0.500 K
0.225 0.125 0.600 Rb
0.375 0.775 0.900 Rb
0.525 0.625 0.400 Rb
0.875 0.475 0.100 Rb
0.250 0.750 0.500 Br
0.500 0.500 0.000 Br
```



Relative energy of each structure, in meV/atom: arrangement A 0; arrangement B 256; arrangement C 63.



Arrangement A

Material: KRbBr
Method: DFT, PBE
State: relaxed

Computed properties:
The total magnetization comes out at 0.0 Bohr magnetons per cell.

Geometry as POSCAR:
```
KRbBr
1.0
4.801 0.000 0.000
-2.401 4.158 0.000
0.000 0.000 8.277
K Rb Br
1 1 1
direct
0.000 0.000 0.000 K
0.667 0.333 0.507 Rb
0.333 0.667 0.769 Br
```



Arrangement B

Material: KRbBr
Method: DFT, PBE
State: relaxed

Computed properties:
The total magnetization comes out at 0.0 Bohr magnetons per cell.

Geometry as POSCAR:
```
KRbBr
1.0
4.793 -2.813 0.000
4.793 2.813 0.000
-3.115 0.000 14.313
K Rb Br
2 2 2
direct
0.000 0.000 0.000 K
0.739 0.739 0.226 K
0.161 0.161 0.482 Rb
0.580 0.580 0.743 Rb
0.078 0.078 0.233 Br
0.661 0.661 0.992 Br
```



Relative energy of each structure, in meV/atom: arrangement A 0; arrangement B 20.



Arrangement A

Material: K3RbBr
Method: DFT, PBE
State: relaxed

Computed properties:
The total magnetization comes out at 0.0 Bohr magnetons per cell.

Geometry as POSCAR:
```
K3RbBr
1.0
6.794 0.000 0.000
0.000 6.794 0.000
0.000 0.000 6.794
K Rb Br
3 1 1
direct
0.000 0.000 0.500 K
0.000 0.500 0.000 K
0.500 0.000 0.000 K
0.500 0.500 0.500 Rb
0.000 0.000 0.000 Br
```



Arrangement B

Material: K3RbBr
Method: DFT, PBE
State: relaxed

Computed properties:
The total magnetization comes out at 0.0 Bohr magnetons per cell.

Geometry as POSCAR:
```
K3RbBr
1.0
7.778 0.000 0.000
0.000 7.778 0.000
0.000 0.000 7.778
K Rb Br
3 1 1
direct
0.000 0.000 0.500 K
0.000 0.500 0.000 K
0.500 0.000 0.000 K
0.000 0.000 0.000 Rb
0.500 0.500 0.500 Br
```



Relative energy of each structure, in meV/atom: arrangement A 0; arrangement B 583.